[1]
Material: B6Mo2W
Method: DFT, PBE
State: relaxed

Unit cell a=5.2347 b=5.2347 c=3.3710 alpha=90.00 beta=90.00 gamma=120.00
Space group P6/mmm (No. 191)
Asymmetric unit:
B1 0.0000 0.3332 0.0000 [6 per cell]
Mo1 0.3333 0.6667 0.5000 [2 per cell]
W1 0.0000 0.0000 0.5000 [1 per cell]

## Properties
- Energy: -8.525 eV/atom
- ΔE_f: -0.23 eV per atom
- Magnetic moment: 0.000 μB/f.u.
- N(E_F): 3.974 states/eV per cell


[2]
Material: Ti2AlIn
Method: DFT, PBE
State: relaxed

Unit cell a=4.103 b=4.103 c=4.198 alpha=90.00 beta=90.00 gamma=90.00
Space group P4/mmm (No. 123)
Asymmetric unit:
Ti1 0.000 0.500 0.000 [2 per cell]
Al1 0.000 0.000 0.500 [1 per cell]
In1 0.500 0.500 0.500 [1 per cell]

## Properties
- Energy: -5.821 eV/atom
- ΔE_f: -0.25 eV per atom
- Magnetic moment: 0.000 μB/f.u.
- N(E_F): 3.922 states/eV per cell


[3]
Material: ErGa3FeNi
Method: DFT, PBE
State: relaxed

Unit cell a=7.662 b=10.177 c=5.454 alpha=90.00 beta=90.00 gamma=90.00
Space group Cmcm (No. 63)
Asymmetric unit:
Er1 0.000 0.203 0.250 [4 per cell]
Ga1 0.000 0.302 0.750 [4 per cell]
Ga2 0.243 0.000 0.000 [8 per cell]
Fe1 0.000 0.074 0.750 [4 per cell]
Ni1 0.000 0.469 0.250 [4 per cell]

## Properties
- Energy: -4.864 eV/atom
- ΔE_f: -0.22 eV per atom
- Magnetic moment: 0.062 μB/f.u.
- N(E_F): 12.240 states/eV per cell


[4]
Material: AcNiH6Rh
Method: DFT, PBE
State: relaxed

Unit cell a=4.7763 b=4.7763 c=4.4304 alpha=90.00 beta=90.00 gamma=120.00
Space group P-6m2 (No. 187)
Asymmetric unit:
Ac1 0.0000 0.0000 0.0000 [1 per cell]
Ni1 0.3333 0.6667 0.5000 [1 per cell]
H1 0.0110 0.5055 0.2683 [6 per cell]
Rh1 0.6667 0.3333 0.5000 [1 per cell]

## Properties
- Energy: -4.541 eV/atom
- Magnetic moment: 0.000 μB/f.u.
- N(E_F): 3.995 states/eV per cell


[5]
Material: SrHfI2Cl
Method: DFT, PBE
State: relaxed

Unit cell a=5.840 b=5.840 c=4.890 alpha=90.00 beta=90.00 gamma=90.00
Space group P4/mmm (No. 123)
Asymmetric unit:
Sr1 0.000 0.000 0.000 [1 per cell]
Hf1 0.500 0.500 0.500 [1 per cell]
I1 0.000 0.500 0.500 [2 per cell]
Cl1 0.500 0.500 0.000 [1 per cell]

## Properties
- Formation energy (no corrections): -0.635 eV per atom
- Energy: -3.951 eV/atom
- Magnetic moment: 0.944 μB/f.u.
- N(E_F): 5.356 states/eV per cell


[6]
Material: Pm2Dy9Y3
Method: DFT, PBE
State: relaxed

Unit cell a=6.434 b=8.417 c=8.891 alpha=87.77 beta=83.42 gamma=71.21
Space group P1 (No. 1)
Asymmetric unit:
Pm1 0.000 0.000 0.000 [1 per cell]
Pm2 0.143 0.647 0.196 [1 per cell]
Dy1 0.071 0.393 0.944 [1 per cell]
Dy2 0.184 0.180 0.279 [1 per cell]
Dy3 0.305 0.831 0.496 [1 per cell]
Dy4 0.339 0.397 0.540 [1 per cell]
Dy5 0.499 0.588 0.823 [1 per cell]
Dy6 0.598 0.790 0.120 [1 per cell]
Dy7 0.748 0.989 0.410 [1 per cell]
Dy8 0.916 0.200 0.662 [1 per cell]
Dy9 0.947 0.744 0.743 [1 per cell]
Y1 0.466 0.043 0.791 [1 per cell]
Y2 0.619 0.346 0.160 [1 per cell]
Y3 0.792 0.551 0.449 [1 per cell]

## Properties
- Energy: -4.940 eV/atom
- ΔE_f: 0.08 eV per atom
- Magnetic moment: 0.000 μB/f.u.
- N(E_F): 23.310 states/eV per cell


[7]
Material: HoEr4Tm
Method: DFT, PBE
State: relaxed

Unit cell a=4.478 b=4.478 c=10.768 alpha=90.00 beta=90.00 gamma=90.00
Space group P4/mmm (No. 123)
Asymmetric unit:
Ho1 0.000 0.000 0.000 [1 per cell]
Er1 0.000 0.500 0.251 [4 per cell]
Tm1 0.500 0.500 0.500 [1 per cell]

## Properties
- Energy: -3.886 eV/atom
- ΔE_f: 0.66 eV per atom
- E above lowest polymorph: 507 meV per atom
- Magnetic moment: 0.000 μB/f.u.
- N(E_F): 12.771 states/eV per cell


[8]
Material: TlNi2Bi2
Method: DFT, PBE
State: relaxed

Unit cell a=4.520 b=4.520 c=12.081 alpha=90.00 beta=90.00 gamma=90.00
Space group I4/mmm (No. 139)
Asymmetric unit:
Tl1 0.000 0.000 0.000 [2 per cell]
Ni1 0.000 0.500 0.250 [4 per cell]
Bi1 0.000 0.000 0.357 [4 per cell]

## Properties
- Energy: -4.189 eV/atom
- ΔE_f: 0.15 eV per atom
- E above lowest polymorph: 0 meV per atom
- Magnetic moment: 0.000 μB/f.u.
- N(E_F): 4.968 states/eV per cell